{"formula": "Ir5Ru3", "functional": "PBE-GGA", "state": "relaxed", "space_group": "Pmm2", "formation_energy_ev_per_atom": -0.002, "de_polymorph_ev_per_atom": 0.0249, "cell": [[2.748, 0.000, 0.000], [0.000, 4.365, 0.000], [0.000, 0.000, 9.543]], "species": ["Ir", "Ir", "Ir", "Ir", "Ir", "Ru", "Ru", "Ru"], "frac_coords": [[0.000, 0.000, 0.000], [0.000, 0.000, 0.492], [0.000, 0.500, 0.832], [0.500, 0.000, 0.747], [0.500, 0.500, 0.577], [0.000, 0.500, 0.328], [0.500, 0.000, 0.246], [0.500, 0.500, 0.083]]}



{"formula": "ScOs2Br", "functional": "PBE-GGA", "state": "relaxed", "space_group": "Cmmm", "e_form_raw_ev_per_atom": 0.734, "de_polymorph_ev_per_atom": 0.7749, "cell": [[1.522, -2.450, 0.000], [1.522, 2.450, 0.000], [0.000, 0.000, 9.225]], "species": ["Sc", "Os", "Os", "Br"], "frac_coords": [[0.000, 0.000, 0.000], [0.500, 0.500, 0.235], [0.500, 0.500, 0.765], [0.000, 0.000, 0.500]]}



{"formula": "YPu2Hf", "functional": "PBE-GGA", "state": "relaxed", "space_group": "P4/mmm", "formation_energy_ev_per_atom": 0.237, "cell": [[4.667, 0.000, 0.000], [0.000, 4.667, 0.000], [0.000, 0.000, 4.765]], "species": ["Y", "Pu", "Pu", "Hf"], "frac_coords": [[0.000, 0.000, 0.000], [0.000, 0.500, 0.500], [0.500, 0.000, 0.500], [0.500, 0.500, 0.000]]}



{"formula": "Tc2Mo3", "functional": "PBE-GGA", "state": "relaxed", "space_group": "Fdd2", "formation_energy_ev_per_atom": 0.204, "de_polymorph_ev_per_atom": 0.0000, "cell": [[0.000, 6.606, 2.515], [4.679, 0.000, 2.515], [4.679, 6.606, 0.000]], "species": ["Tc", "Tc", "Tc", "Tc", "Mo", "Mo", "Mo", "Mo", "Mo", "Mo"], "frac_coords": [[0.027, 0.473, 0.079], [0.171, 0.829, 0.223], [0.473, 0.027, 0.421], [0.829, 0.171, 0.777], [0.057, 0.057, 0.943], [0.307, 0.307, 0.193], [0.498, 0.591, 0.296], [0.591, 0.498, 0.615], [0.635, 0.954, 0.659], [0.954, 0.635, 0.752]]}



{"formula": "Pr2SmCdHg4", "functional": "PBE-GGA", "state": "relaxed", "space_group": "R-3m", "formation_energy_ev_per_atom": -0.440, "cell": [[2.631, 1.519, 9.025], [-2.631, 1.519, 9.025], [0.000, -3.038, 9.025]], "species": ["Pr", "Pr", "Sm", "Cd", "Hg", "Hg", "Hg", "Hg"], "frac_coords": [[0.240, 0.240, 0.240], [0.760, 0.760, 0.760], [0.000, 0.000, 0.000], [0.500, 0.500, 0.500], [0.122, 0.122, 0.122], [0.368, 0.368, 0.368], [0.632, 0.632, 0.632], [0.878, 0.878, 0.878]]}



{"formula": "HfTa2N", "functional": "PBE-GGA", "state": "relaxed", "space_group": "Pmmn", "e_form_raw_ev_per_atom": -0.776, "cell": [[4.713, 0.000, 0.000], [0.000, 8.682, 0.000], [0.000, 0.000, 3.069]], "species": ["Hf", "Hf", "Ta", "Ta", "Ta", "Ta", "N", "N"], "frac_coords": [[0.250, 0.250, 0.050], [0.750, 0.750, 0.950], [0.250, 0.579, 0.410], [0.250, 0.921, 0.410], [0.750, 0.079, 0.590], [0.750, 0.421, 0.590], [0.250, 0.750, 0.908], [0.750, 0.250, 0.092]]}